This record from the Alexandria database describes Nb2AlPt after structural relaxation. The functional is PBE.

Lattice parameters (Å, degrees): 10.355 10.355 10.355 158.92 158.92 29.98
Atoms (fractional coordinates):
1 Nb 0.118 0.625 0.993
2 Nb 0.375 0.368 0.493
3 Nb 0.632 0.125 0.007
4 Nb 0.875 0.882 0.507
5 Al 0.000 0.000 0.000
6 Al 0.750 0.250 0.500
7 Pt 0.250 0.750 0.500
8 Pt 0.500 0.500 0.000

Computed properties:
Total magnetic moment (μB/f.u.): 0.00
Space group: No. 122

This record from the Alexandria database describes Nb2AlPt2 after structural relaxation. The functional is PBE.

Lattice parameters (Å, degrees): 6.816 6.816 3.764 90.00 90.00 90.00
Atoms (fractional coordinates):
1 Nb 0.171 0.329 0.000
2 Nb 0.329 0.829 0.000
3 Nb 0.671 0.171 0.000
4 Nb 0.829 0.671 0.000
5 Al 0.000 0.000 0.500
6 Al 0.500 0.500 0.500
7 Pt 0.139 0.639 0.500
8 Pt 0.361 0.139 0.500
9 Pt 0.639 0.861 0.500
10 Pt 0.861 0.361 0.500

Computed properties:
Total magnetic moment (μB/f.u.): 0.00
Space group: No. 127

no.,electronic total energy (eV per atom),ΔH_f (0 K) (eV per atom),DOS at the Fermi energy (states/eV/cell)
1,-7.500,-0.020,4.7
2,-7.664,-0.472,6.5